Density functional theory data (PBE) for a geometry-optimized Zr3Te structure.

The value obtained for the density of states at the Fermi level is 9.06 states/eV/cell. Its final energy is -7.470 eV per atom.

a = 5.2577 Å, b = 6.1153 Å, c = 5.5837 Å
α = 90.00°, β = 90.00°, γ = 90.00°
Space group Pmmn (No. 59, origin choice 2)
Unique sites:
1 Zr 0.2500 0.0006 0.1461
2 Zr 0.2500 0.7500 0.6531
3 Te 0.2500 0.2500 0.6475